# HoNpGe4, optimized geometry, DFT GGA-PBE
# Energy of formation from the pure elements, kcal/mol of atoms: -3.14
# E, eV per atom: -6.134
# Crystal system: cubic
data_HoNpGe4
_cell_length_a 5.5742
_cell_length_b 5.5742
_cell_length_c 5.5742
_cell_angle_alpha 60.00
_cell_angle_beta 60.00
_cell_angle_gamma 60.00
_symmetry_space_group_name_H-M 'P 1'
_symmetry_Int_Tables_number 1
loop_
_symmetry_equiv_pos_as_xyz
'x,y,z'
loop_
_atom_site_label
_atom_site_type_symbol
_atom_site_fract_x
_atom_site_fract_y
_atom_site_fract_z
Ge1 Ge 0.6252 0.1245 0.6252
Ge2 Ge 0.6252 0.6252 0.1245
Ge3 Ge 0.6252 0.6252 0.6252
Ge4 Ge 0.1245 0.6252 0.6252
Np1 Np 0.0000 0.0000 0.0000
Ho1 Ho 0.2500 0.2500 0.2500



# HoNpGe2O8, optimized geometry, DFT GGA-PBE
# E, eV per atom: -7.941
# Crystal system: tetragonal
data_HoNpGe2O8
_cell_length_a 5.9196
_cell_length_b 5.9196
_cell_length_c 5.9196
_cell_angle_alpha 107.28
_cell_angle_beta 107.28
_cell_angle_gamma 113.94
_symmetry_space_group_name_H-M 'P 1'
_symmetry_Int_Tables_number 1
loop_
_symmetry_equiv_pos_as_xyz
'x,y,z'
loop_
_atom_site_label
_atom_site_type_symbol
_atom_site_fract_x
_atom_site_fract_y
_atom_site_fract_z
O1 O 0.7576 0.0680 0.6895
O2 O 0.9320 0.2424 0.3105
O3 O 0.3785 0.0680 0.3105
O4 O 0.5057 0.6885 0.8171
O5 O 0.8714 0.6885 0.1829
O6 O 0.9320 0.6215 0.6895
O7 O 0.3115 0.4943 0.1829
O8 O 0.3115 0.1286 0.8171
Ge1 Ge 0.5000 0.5000 0.0000
Ge2 Ge 0.7500 0.2500 0.5000
Ho1 Ho 0.2500 0.7500 0.5000
Np1 Np 0.0000 0.0000 0.0000



# Ho3GeO6, optimized geometry, DFT GGA-PBE
# E, eV per atom: -7.813
# Crystal system: orthorhombic
data_Ho3GeO6
_cell_length_a 5.4892
_cell_length_b 7.0890
_cell_length_c 7.0890
_cell_angle_alpha 102.59
_cell_angle_beta 90.00
_cell_angle_gamma 90.00
_symmetry_space_group_name_H-M 'P 1'
_symmetry_Int_Tables_number 1
loop_
_symmetry_equiv_pos_as_xyz
'x,y,z'
loop_
_atom_site_label
_atom_site_type_symbol
_atom_site_fract_x
_atom_site_fract_y
_atom_site_fract_z
O1 O 0.2015 0.6762 0.6455
O2 O 0.7015 0.6455 0.6762
O3 O 0.2244 0.0246 0.9754
O4 O 0.6645 0.5909 0.1041
O5 O 0.7015 0.3238 0.3545
O6 O 0.2015 0.3545 0.3238
O7 O 0.1645 0.1041 0.5909
O8 O 0.1645 0.4091 0.8959
O9 O 0.6509 0.2269 0.7731
O10 O 0.6645 0.8959 0.4091
O11 O 0.7244 0.9754 0.0246
O12 O 0.1509 0.7731 0.2269
Ho1 Ho 0.9788 0.7007 0.9114
Ho2 Ho 0.9788 0.0886 0.2993
Ho3 Ho 0.9255 0.6003 0.3997
Ho4 Ho 0.4788 0.9114 0.7007
Ho5 Ho 0.4255 0.3997 0.6003
Ho6 Ho 0.4788 0.2993 0.0886
Ge1 Ge 0.9950 0.1744 0.8256
Ge2 Ge 0.4950 0.8256 0.1744



What are the spin magnetization values for these records? In order: 5.81; 2.00; 0.00 μB per formula unit.